# 1
Here is a relaxed structure of AcPrGe3 from Alexandria via LeMat-Bulk. Energies are from PBE-GGA.

Cell lengths 4.173, 4.560, 13.983 Å; angles 99.38, 90.00, 90.00 degrees
Fractional coordinates of all 10 atoms:
Ac  0.250  0.073  0.145
Ac  0.750  0.927  0.855
Pr  0.250  0.797  0.594
Pr  0.750  0.203  0.406
Ge  0.250  0.375  0.750
Ge  0.750  0.625  0.250
Ge  0.250  0.473  0.946
Ge  0.750  0.527  0.054
Ge  0.750  0.316  0.631
Ge  0.250  0.684  0.369

Values from the calculation:
total DFT energy (no corrections): -52.5 eV per cell
formation energy from the elements: -700 meV/atom
spin magnetization: 0.000 μB/atom



# 2
Here is a relaxed structure of TmAlTl2Te4 from Alexandria via LeMat-Bulk. Energies are from PBE-GGA.

Cell lengths 9.010, 9.010, 9.091 Å; angles 120.30, 120.30, 90.37 degrees
Fractional coordinates of all 16 atoms:
Tm  0.000  0.500  0.000
Tm  0.000  0.500  0.500
Al  0.500  0.500  0.500
Al  0.000  0.000  0.000
Tl  0.500  0.000  0.000
Tl  0.500  0.000  0.500
Tl  0.000  0.000  0.500
Tl  0.500  0.500  0.000
Te  0.209  0.751  0.980
Te  0.749  0.291  0.520
Te  0.251  0.709  0.480
Te  0.791  0.249  0.020
Te  0.759  0.741  0.960
Te  0.759  0.741  0.540
Te  0.241  0.259  0.460
Te  0.241  0.259  0.040

Values from the calculation:
total DFT energy (no corrections): -60.9 eV per cell
formation energy from raw total energies: -615 meV/atom
spin magnetization: 0.000 μB/atom



# 3
Here is a relaxed structure of Ni2MoPb from Alexandria via LeMat-Bulk. Energies are from PBE-GGA.

Cell lengths 4.582, 4.582, 4.580 Å; angles 125.91, 125.91, 80.06 degrees
Fractional coordinates of all 4 atoms:
Mo  0.250  0.750  0.500
Ni  0.000  0.000  0.000
Ni  0.500  0.500  0.000
Pb  0.750  0.250  0.500

Values from the calculation:
total DFT energy (no corrections): -24.4 eV per cell
formation energy from the elements: 414 meV/atom
spin magnetization: 0.334 μB/atom



# 4
Here is a relaxed structure of AlNi2HAu from Alexandria via LeMat-Bulk. Energies are from PBE-GGA.

Cell lengths 3.724, 3.724, 3.966 Å; angles 90.00, 90.00, 90.00 degrees
Fractional coordinates of all 5 atoms:
Ni  0.000  0.500  0.000
Ni  0.500  0.000  0.000
Au  0.500  0.500  0.500
Al  0.000  0.000  0.500
H  0.000  0.000  0.000

Values from the calculation:
total DFT energy (no corrections): -23.0 eV per cell
spin magnetization: 0.000 μB/atom
energy above the most stable polymorph in this dataset: 0 meV per atom



# 5
Here is a relaxed structure of MnRuCl2 from Alexandria via LeMat-Bulk. Energies are from PBE-GGA.

Cell lengths 4.273, 4.273, 4.273 Å; angles 60.00, 60.00, 60.00 degrees
Fractional coordinates of all 4 atoms:
Ru  0.500  0.500  0.500
Mn  0.000  0.000  0.000
Cl  0.250  0.250  0.250
Cl  0.750  0.750  0.750

Values from the calculation:
total DFT energy (no corrections): -18.4 eV per cell
formation energy from raw total energies: 938 meV/atom
spin magnetization: 0.000 μB/atom
energy above the most stable polymorph in this dataset: 1093 meV per atom



# 6
Here is a relaxed structure of CsUP2Se8 from Alexandria via LeMat-Bulk. Energies are from PBE-GGA.

Cell lengths 6.545, 6.545, 11.238 Å; angles 73.07, 73.07, 60.00 degrees
Fractional coordinates of all 12 atoms:
Cs  0.500  0.500  0.500
U  0.000  0.000  0.000
P  0.260  0.260  0.219
P  0.740  0.740  0.781
Se  0.193  0.193  0.421
Se  0.604  0.303  0.148
Se  0.807  0.807  0.579
Se  0.945  0.604  0.148
Se  0.055  0.396  0.852
Se  0.303  0.945  0.148
Se  0.697  0.055  0.852
Se  0.396  0.697  0.852

Values from the calculation:
total DFT energy (no corrections): -56.3 eV per cell
formation energy from raw total energies: -452 meV/atom
spin magnetization: 0.084 μB/atom



# 7
Here is a relaxed structure of LiFePdAu from Alexandria via LeMat-Bulk. Energies are from PBE-GGA.

Cell lengths 4.350, 4.350, 4.350 Å; angles 60.00, 60.00, 60.00 degrees
Fractional coordinates of all 4 atoms:
Au  0.250  0.250  0.250
Fe  0.500  0.500  0.500
Pd  0.750  0.750  0.750
Li  0.000  0.000  0.000

Values from the calculation:
total DFT energy (no corrections): -19.6 eV per cell
formation energy from the elements: -176 meV/atom
spin magnetization: 0.862 μB/atom



# 8
Here is a relaxed structure of Na2Ag2As from Alexandria via LeMat-Bulk. Energies are from PBE-GGA.

Cell lengths 6.896, 6.896, 4.843 Å; angles 90.00, 90.00, 90.00 degrees
Fractional coordinates of all 10 atoms:
Na  0.176  0.676  0.500
Na  0.676  0.824  0.500
Na  0.824  0.324  0.500
Na  0.324  0.176  0.500
As  0.000  0.000  0.000
As  0.500  0.500  0.000
Ag  0.356  0.856  0.000
Ag  0.856  0.644  0.000
Ag  0.644  0.144  0.000
Ag  0.144  0.356  0.000

Values from the calculation:
total DFT energy (no corrections): -26.8 eV per cell
formation energy from the elements: -83 meV/atom
spin magnetization: 0.000 μB/atom
energy above the most stable polymorph in this dataset: 0 meV per atom